The following is a PBE-GGA calculation of an optimized crystal structure of TaZnCoSi, from OQMD.

excess energy over the best structure of this formula in the dataset: 0.000 eV/atom
SG: No. 216
calculated volume: 13.74 A^3/atom
final energy: -25.4 eV per cell

Cell: 4.2674 4.2674 4.2674 Å, 60.00 60.00 60.00°
Each line ends with the local moment (μB).
Atoms (fractional coordinates):
1 Co 0.7500 0.7500 0.7500  0.79
2 Si 0.0000 0.0000 0.0000  0.01
3 Ta 0.2500 0.2500 0.2500  0.31
4 Zn 0.5000 0.5000 0.5000  0.00

---

The following is a PBE-GGA calculation of an optimized crystal structure of TaZnCoSi, from OQMD.

excess energy over the best structure of this formula in the dataset: 0.027 eV/atom
SG: No. 216
calculated volume: 13.68 A^3/atom
final energy: -25.3 eV per cell

Cell: 4.2611 4.2611 4.2611 Å, 60.00 60.00 60.00°
Atoms (fractional coordinates):
1 Co 0.7500 0.7500 0.7500
2 Si 0.0000 0.0000 0.0000
3 Ta 0.5000 0.5000 0.5000
4 Zn 0.2500 0.2500 0.2500

---

The following is a PBE-GGA calculation of an optimized crystal structure of Tb3CoSi3, from OQMD.

SG: No. 12
calculated volume: 19.75 A^3/atom
final energy: -85.4 eV per cell

Cell: 5.6585 5.6585 13.4963 Å, 109.55 109.55 43.31°
Atoms (fractional coordinates):
1 Co 0.7530 0.7530 0.0818
2 Co 0.2470 0.2470 0.9182
3 Si 0.1412 0.1412 0.0436
4 Si 0.9463 0.9463 0.2588
5 Si 0.8865 0.8865 0.4241
6 Si 0.1135 0.1135 0.5759
7 Si 0.0537 0.0537 0.7412
8 Si 0.8588 0.8588 0.9564
9 Tb 0.4748 0.4748 0.1205
10 Tb 0.2530 0.2530 0.2710
11 Tb 0.6006 0.6006 0.4197
12 Tb 0.3994 0.3994 0.5803
13 Tb 0.7470 0.7470 0.7290
14 Tb 0.5252 0.5252 0.8795

---

The following is a PBE-GGA calculation of an optimized crystal structure of TbCo9Si4, from OQMD.

SG: No. 140
calculated volume: 12.03 A^3/atom
final energy: -193.9 eV per cell

Cell: 7.6903 7.6903 7.8734 Å, 119.23 119.23 90.00°
Each line ends with the local moment (μB).
Atoms (fractional coordinates):
1 Co 0.5000 0.0000 0.0000  -0.05
2 Co 0.8015 0.0701 0.0000  0.00
3 Co 0.0701 0.1985 0.0000  0.00
4 Co 0.5701 0.3015 0.0000  0.00
5 Co 0.3015 0.4299 0.0000  -0.01
6 Co 0.0000 0.5000 0.0000  -0.05
7 Co 0.6985 0.5701 0.0000  -0.01
8 Co 0.4299 0.6985 0.0000  0.00
9 Co 0.9299 0.8015 0.0000  0.00
10 Co 0.1985 0.9299 0.0000  0.00
11 Co 0.5494 0.0494 0.3609  -0.07
12 Co 0.8115 0.3115 0.3609  -0.07
13 Co 0.3115 0.5494 0.3609  -0.07
14 Co 0.0494 0.8115 0.3609  -0.07
15 Co 0.9506 0.1885 0.6391  -0.07
16 Co 0.6885 0.4506 0.6391  -0.07
17 Co 0.1885 0.6885 0.6391  -0.07
18 Co 0.4506 0.9506 0.6391  -0.07
19 Si 0.4535 0.2907 0.2443  0.00
20 Si 0.9535 0.4535 0.2443  0.00
21 Si 0.2907 0.7907 0.2443  0.00
22 Si 0.7907 0.9535 0.2443  0.00
23 Si 0.2093 0.0465 0.7557  0.00
24 Si 0.7093 0.2093 0.7557  0.00
25 Si 0.0465 0.5465 0.7557  0.00
26 Si 0.5465 0.7093 0.7557  0.00
27 Tb 0.2500 0.2500 0.5000  0.01
28 Tb 0.7500 0.7500 0.5000  0.01